1.
{
  "formula": "NiMoOs2Pd",
  "functional": "PBE",
  "state": "optimized geometry",
  "magmom_total_mub_per_cell": 0.0,
  "delta_e_f_ev_per_atom": 2.6881,
  "lattice_angstrom": [[-4.4907, -0.1810, 1.3190], [0.6193, -4.3254, 1.5150], [1.1743, 1.6478, 4.2243]],
  "species": ["Mo", "Pd", "Os", "Os", "Ni"],
  "frac_coords": [[0.0000, 0.5000, 0.0000], [0.0000, 0.0000, 0.0000], [0.5000, 0.0000, 0.0000], [0.0000, 0.0000, 0.5000], [0.5000, 0.5000, 0.5000]]
}


2.
{
  "formula": "NiSb2MoOs",
  "functional": "PBE",
  "state": "optimized geometry",
  "magmom_total_mub_per_cell": 2.0,
  "dft_energy_ev_per_cell": -29.36,
  "lattice_angstrom": [[-3.9061, 1.7510, 2.1855], [0.2675, -3.5004, 3.2826], [2.6205, 2.6223, 2.5827]],
  "species": ["Os", "Mo", "Ni", "Sb", "Sb"],
  "frac_coords": [[0.0000, 0.0000, 0.5000], [0.5000, 0.5000, 0.5000], [0.0000, 0.0000, 0.0000], [0.5000, 0.0000, 0.0000], [0.0000, 0.5000, 0.0000]]
}


3.
{
  "formula": "ScNiMoOs",
  "functional": "PBE",
  "state": "optimized geometry",
  "magmom_total_mub_per_cell": 0.4,
  "delta_e_f_ev_per_atom": -0.1248,
  "lattice_angstrom": [[4.4206, 0.0000, 0.0000], [2.2103, 3.8284, 0.0000], [2.2103, 1.2761, 3.6094]],
  "species": ["Ni", "Os", "Mo", "Sc"],
  "frac_coords": [[0.5000, 0.5000, 0.5000], [0.0000, 0.0000, 0.0000], [0.2500, 0.2500, 0.2500], [0.7500, 0.7500, 0.7500]]
}